## Na3ScBr6 (SCAN)

Data for Na3ScBr6 at its PBEsol-relaxed geometry.

```
data_Na3ScBr6
_cell_length_a 7.2543
_cell_length_b 7.2543
_cell_length_c 12.9384
_cell_angle_alpha 90.00
_cell_angle_beta 90.00
_cell_angle_gamma 120.00
_space_group_name_H-M_alt 'P 1'
_space_group_IT_number 1
loop_
_space_group_symop_operation_xyz
'x,y,z'
loop_
_atom_site_label
_atom_site_type_symbol
_atom_site_fract_x
_atom_site_fract_y
_atom_site_fract_z
_atom_site_occupancy
Na1 Na 0.3333 0.6667 0.5374 1
Na2 Na 0.3333 0.6667 0.9626 1
Na3 Na 0.6667 0.3333 0.4626 1
Na4 Na 0.6667 0.3333 0.0374 1
Na5 Na 0.0000 0.0000 0.2500 1
Na6 Na 0.0000 0.0000 0.7500 1
Sc1 Sc 0.3333 0.6667 0.2500 1
Sc2 Sc 0.6667 0.3333 0.7500 1
Br1 Br 0.6348 0.9529 0.1293 1
Br2 Br 0.0471 0.3652 0.3707 1
Br3 Br 0.6348 0.6819 0.3707 1
Br4 Br 0.3181 0.9529 0.3707 1
Br5 Br 0.0471 0.6819 0.1293 1
Br6 Br 0.3181 0.3652 0.1293 1
Br7 Br 0.6819 0.0471 0.6293 1
Br8 Br 0.3652 0.3181 0.6293 1
Br9 Br 0.9529 0.6348 0.6293 1
Br10 Br 0.3652 0.0471 0.8707 1
Br11 Br 0.9529 0.3181 0.8707 1
Br12 Br 0.6819 0.6348 0.8707 1
```

Computed properties:
final energy: -16.1823 eV per atom
SG: P-31c
energy relative to the elements, uncorrected: -1.82 eV per atom